Computed, not measured: a relaxed NaGa2Au5 crystal at the PBE level of DFT.

a = 4.024 Å, b = 7.443 Å, c = 10.769 Å
α = 90.00°, β = 90.00°, γ = 90.00°
Space group Immm (No. 71)
Inequivalent atoms, fractional coordinates:
Na  0.000  0.000  0.000 [2 per cell]
Ga  0.000  0.500  0.249 [4 per cell]
Au  0.000  0.203  0.362 [8 per cell]
Au  0.000  0.500  0.000 [2 per cell]

calculated volume: 322.54 Å³ per cell
total magnetic moment: 0.00 μB per formula unit
ΔE_f: -0.198 eV per atom
Fermi-level density of states: 0.299 states/eV per atom
calculated density: 11.81 g cm⁻³

=====

Computed, not measured: a relaxed Na2Ga4Au5 crystal at the PBE level of DFT.

a = 5.885 Å, b = 9.831 Å, c = 16.238 Å
α = 90.00°, β = 90.00°, γ = 90.00°
Space group Fmmm (No. 69)
Inequivalent atoms, fractional coordinates:
Na  0.000  0.000  0.126 [8 per cell]
Ga  0.000  0.156  0.369 [16 per cell]
Au  0.000  0.000  0.500 [4 per cell]
Au  0.250  0.250  0.000 [8 per cell]
Au  0.250  0.250  0.250 [8 per cell]

calculated volume: 939.37 Å³ per cell
total magnetic moment: 0.00 μB per formula unit
ΔE_f: -0.255 eV per atom
Fermi-level density of states: 0.240 states/eV per atom
calculated density: 9.26 g cm⁻³

=====

Computed, not measured: a relaxed NaGaAu4 crystal at the PBE level of DFT.

a = 13.595 Å, b = 6.686 Å, c = 5.677 Å
α = 90.00°, β = 97.34°, γ = 90.00°
Space group C2/m (No. 12)
Inequivalent atoms, fractional coordinates:
Na  0.209  0.000  0.117 [4 per cell]
Ga  0.029  0.500  0.281 [4 per cell]
Au  0.000  0.202  0.000 [4 per cell]
Au  0.106  0.214  0.605 [8 per cell]
Au  0.220  0.500  0.374 [4 per cell]

calculated volume: 511.76 Å³ per cell
total magnetic moment: 0.00 μB per formula unit
ΔE_f: -0.175 eV per atom
Fermi-level density of states: 0.134 states/eV per atom
calculated density: 11.43 g cm⁻³
energy relative to the lowest polymorph listed for this composition: 28 meV per atom

=====

Computed, not measured: a relaxed NaGa2Au2 crystal at the PBE level of DFT.

a = 4.773 Å, b = 4.773 Å, c = 9.476 Å
α = 90.00°, β = 90.00°, γ = 90.00°
Space group I4/mmm (No. 139)
Inequivalent atoms, fractional coordinates:
Na  0.000  0.000  0.000 [2 per cell]
Ga  0.000  0.000  0.364 [4 per cell]
Au  0.000  0.500  0.250 [4 per cell]

calculated volume: 215.90 Å³ per cell
total magnetic moment: 0.00 μB per formula unit
ΔE_f: -0.288 eV per atom
Fermi-level density of states: 0.348 states/eV per atom
calculated density: 8.56 g cm⁻³
energy relative to the lowest polymorph listed for this composition: 25 meV per atom

=====

Computed, not measured: a relaxed NaGa4Au2 crystal at the PBE level of DFT.

a = 4.376 Å, b = 16.913 Å, c = 3.787 Å
α = 90.00°, β = 90.00°, γ = 90.00°
Space group Cmmm (No. 65)
Inequivalent atoms, fractional coordinates:
Na  0.000  0.000  0.000 [2 per cell]
Ga  0.000  0.172  0.500 [4 per cell]
Ga  0.000  0.304  0.000 [4 per cell]
Au  0.000  0.419  0.500 [4 per cell]

calculated volume: 280.31 Å³ per cell
total magnetic moment: 0.00 μB per formula unit
ΔE_f: -0.187 eV per atom
Fermi-level density of states: 0.214 states/eV per atom
calculated density: 8.24 g cm⁻³
energy relative to the lowest polymorph listed for this composition: 70 meV per atom

=====

Computed, not measured: a relaxed Na3Ga4Au4 crystal at the PBE level of DFT.

a = 3.640 Å, b = 4.566 Å, c = 27.694 Å
α = 90.00°, β = 90.00°, γ = 90.00°
Space group Immm (No. 71)
Inequivalent atoms, fractional coordinates:
Na  0.000  0.000  0.000 [2 per cell]
Na  0.000  0.500  0.143 [4 per cell]
Ga  0.000  0.000  0.260 [4 per cell]
Ga  0.000  0.500  0.405 [4 per cell]
Au  0.000  0.000  0.448 [4 per cell]
Au  0.000  0.500  0.312 [4 per cell]

calculated volume: 460.26 Å³ per cell
total magnetic moment: 0.00 μB per formula unit
ΔE_f: -0.286 eV per atom
Fermi-level density of states: 0.406 states/eV per atom
calculated density: 8.20 g cm⁻³
energy relative to the lowest polymorph listed for this composition: 56 meV per atom

=====

Computed, not measured: a relaxed Na2Ga7Au crystal at the PBE level of DFT.

a = 4.331 Å, b = 4.331 Å, c = 11.148 Å
α = 90.00°, β = 90.00°, γ = 90.00°
Space group P-4m2 (No. 115)
Inequivalent atoms, fractional coordinates:
Na  0.000  0.500  0.242 [2 per cell]
Ga  0.000  0.000  0.000 [1 per cell]
Ga  0.000  0.000  0.500 [1 per cell]
Ga  0.000  0.500  0.639 [2 per cell]
Ga  0.000  0.500  0.864 [2 per cell]
Ga  0.500  0.500  0.500 [1 per cell]
Au  0.500  0.500  0.000 [1 per cell]

calculated volume: 209.08 Å³ per cell
total magnetic moment: 0.00 μB per formula unit
ΔE_f: -0.161 eV per atom
Fermi-level density of states: 0.389 states/eV per atom
calculated density: 5.81 g cm⁻³

=====

Computed, not measured: a relaxed NaGa2Au2 crystal at the PBE level of DFT.

a = 4.778 Å, b = 4.706 Å, c = 9.481 Å
α = 90.00°, β = 91.28°, γ = 90.00°
Space group P2_1/m (No. 11)
Inequivalent atoms, fractional coordinates:
Na  0.233  0.250  0.252 [2 per cell]
Ga  0.188  0.250  0.609 [2 per cell]
Ga  0.269  0.750  0.001 [2 per cell]
Au  0.226  0.250  0.877 [2 per cell]
Au  0.313  0.750  0.507 [2 per cell]

calculated volume: 213.17 Å³ per cell
total magnetic moment: 0.00 μB per formula unit
ΔE_f: -0.313 eV per atom
Fermi-level density of states: 0.232 states/eV per atom
calculated density: 8.67 g cm⁻³
energy relative to the lowest polymorph listed for this composition: 0 meV per atom

=====

Computed, not measured: a relaxed NaGa4Au2 crystal at the PBE level of DFT.

a = 16.854 Å, b = 4.427 Å, c = 7.273 Å
α = 90.00°, β = 90.00°, γ = 90.00°
Space group Pnma (No. 62)
Inequivalent atoms, fractional coordinates:
Na  0.145  0.250  0.049 [4 per cell]
Ga  0.038  0.750  0.877 [4 per cell]
Ga  0.062  0.250  0.460 [4 per cell]
Ga  0.185  0.750  0.755 [4 per cell]
Ga  0.188  0.750  0.352 [4 per cell]
Au  0.035  0.750  0.247 [4 per cell]
Au  0.215  0.250  0.558 [4 per cell]

calculated volume: 542.59 Å³ per cell
total magnetic moment: 0.00 μB per formula unit
ΔE_f: -0.257 eV per atom
Fermi-level density of states: 0.481 states/eV per atom
calculated density: 8.52 g cm⁻³
energy relative to the lowest polymorph listed for this composition: 0 meV per atom

=====

Computed, not measured: a relaxed Na2GaAu crystal at the PBE level of DFT.

a = 4.246 Å, b = 4.246 Å, c = 4.699 Å
α = 90.00°, β = 90.00°, γ = 90.00°
Space group P4/mmm (No. 123)
Inequivalent atoms, fractional coordinates:
Na  0.000  0.500  0.000 [2 per cell]
Ga  0.000  0.000  0.500 [1 per cell]
Au  0.500  0.500  0.500 [1 per cell]

calculated volume: 84.73 Å³ per cell
total magnetic moment: 0.00 μB per formula unit
ΔE_f: -0.162 eV per atom
Fermi-level density of states: 0.268 states/eV per atom
calculated density: 6.13 g cm⁻³

=====

Computed, not measured: a relaxed Na3Ga6Au5 crystal at the PBE level of DFT.

a = 4.429 Å, b = 13.263 Å, c = 9.460 Å
α = 90.00°, β = 90.00°, γ = 90.00°
Space group Pmmn (No. 59, origin choice 2)
Inequivalent atoms, fractional coordinates:
Na  0.250  0.049  0.249 [4 per cell]
Na  0.250  0.750  0.255 [2 per cell]
Ga  0.250  0.071  0.591 [4 per cell]
Ga  0.250  0.250  0.040 [2 per cell]
Ga  0.250  0.250  0.406 [2 per cell]
Ga  0.250  0.595  0.982 [4 per cell]
Au  0.250  0.092  0.867 [4 per cell]
Au  0.250  0.630  0.536 [4 per cell]
Au  0.250  0.750  0.798 [2 per cell]

calculated volume: 555.64 Å³ per cell
total magnetic moment: 0.00 μB per formula unit
ΔE_f: -0.324 eV per atom
Fermi-level density of states: 0.236 states/eV per atom
calculated density: 8.80 g cm⁻³

=====

Computed, not measured: a relaxed Na2Ga3Au crystal at the PBE level of DFT.

a = 10.537 Å, b = 4.489 Å, c = 7.376 Å
α = 90.00°, β = 133.25°, γ = 90.00°
Space group Cm (No. 8)
Inequivalent atoms, fractional coordinates:
Na  0.000  0.000  0.000 [2 per cell]
Na  0.132  0.000  0.638 [2 per cell]
Ga  0.226  0.500  0.046 [2 per cell]
Ga  0.227  0.500  0.413 [2 per cell]
Ga  0.403  0.000  0.227 [2 per cell]
Au  0.407  0.000  0.600 [2 per cell]

calculated volume: 254.15 Å³ per cell
total magnetic moment: 0.00 μB per formula unit
ΔE_f: -0.265 eV per atom
Fermi-level density of states: 0.334 states/eV per atom
calculated density: 5.91 g cm⁻³

=====

Computed, not measured: a relaxed NaGa4Au crystal at the PBE level of DFT.

a = 6.361 Å, b = 7.028 Å, c = 7.060 Å
α = 111.89°, β = 116.54°, γ = 90.19°
Space group P-1 (No. 2)
Inequivalent atoms, fractional coordinates:
Na  0.061  0.250  0.000 [2 per cell]
Ga  0.100  0.632  0.443 [2 per cell]
Ga  0.346  0.132  0.446 [2 per cell]
Ga  0.365  0.548  0.828 [2 per cell]
Ga  0.460  0.047  0.827 [2 per cell]
Au  0.000  0.000  0.500 [1 per cell]
Au  0.500  0.500  0.500 [1 per cell]

calculated volume: 256.45 Å³ per cell
total magnetic moment: 0.00 μB per formula unit
ΔE_f: -0.149 eV per atom
Fermi-level density of states: 0.233 states/eV per atom
calculated density: 6.46 g cm⁻³
energy relative to the lowest polymorph listed for this composition: 38 meV per atom

=====

Computed, not measured: a relaxed NaGa5Au7 crystal at the PBE level of DFT.

a = 9.123 Å, b = 10.229 Å, c = 5.932 Å
α = 90.00°, β = 112.47°, γ = 90.00°
Space group Cm (No. 8)
Inequivalent atoms, fractional coordinates:
Na  0.000  0.000  0.000 [2 per cell]
Ga  0.218  0.256  0.879 [4 per cell]
Ga  0.221  0.500  0.436 [2 per cell]
Ga  0.255  0.194  0.423 [4 per cell]
Au  0.017  0.310  0.084 [4 per cell]
Au  0.133  0.500  0.810 [2 per cell]
Au  0.283  0.000  0.762 [2 per cell]
Au  0.383  0.000  0.300 [2 per cell]
Au  0.483  0.357  0.500 [4 per cell]

calculated volume: 511.53 Å³ per cell
total magnetic moment: 0.00 μB per formula unit
ΔE_f: -0.196 eV per atom
Fermi-level density of states: 0.294 states/eV per atom
calculated density: 11.36 g cm⁻³

=====

Computed, not measured: a relaxed NaNdGaAu crystal at the PBE level of DFT.

a = 7.208 Å, b = 7.208 Å, c = 7.208 Å
α = 90.00°, β = 90.00°, γ = 90.00°
Space group F-43m (No. 216)
Inequivalent atoms, fractional coordinates:
Na  0.000  0.000  0.000 [4 per cell]
Nd  0.000  0.000  0.500 [4 per cell]
Ga  0.250  0.250  0.250 [4 per cell]
Au  0.250  0.250  0.750 [4 per cell]

calculated volume: 374.54 Å³ per cell
total magnetic moment: 0.00 μB per formula unit
ΔE_f: -0.424 eV per atom
Fermi-level density of states: 0.649 states/eV per atom
calculated density: 7.70 g cm⁻³

=====

Computed, not measured: a relaxed NaPaGaAu crystal at the PBE level of DFT.

a = 7.050 Å, b = 7.050 Å, c = 7.050 Å
α = 90.00°, β = 90.00°, γ = 90.00°
Space group F-43m (No. 216)
Inequivalent atoms, fractional coordinates:
Na  0.000  0.000  0.000 [4 per cell]
Pa  0.000  0.000  0.500 [4 per cell]
Ga  0.250  0.250  0.750 [4 per cell]
Au  0.250  0.250  0.250 [4 per cell]

calculated volume: 350.46 Å³ per cell
total magnetic moment: 0.00 μB per formula unit
ΔE_f: -0.110 eV per atom
Fermi-level density of states: 0.862 states/eV per atom
calculated density: 9.87 g cm⁻³

=====

Computed, not measured: a relaxed Na2GaPbAu crystal at the PBE level of DFT.

a = 5.450 Å, b = 5.450 Å, c = 5.438 Å
α = 90.00°, β = 90.00°, γ = 90.00°
Space group P4/mmm (No. 123)
Inequivalent atoms, fractional coordinates:
Na  0.000  0.500  0.000 [2 per cell]
Ga  0.000  0.000  0.000 [1 per cell]
Pb  0.000  0.000  0.500 [1 per cell]
Au  0.500  0.500  0.500 [1 per cell]

calculated volume: 161.50 Å³ per cell
total magnetic moment: 0.00 μB per formula unit
ΔE_f: 0.298 eV per atom
Fermi-level density of states: 0.504 states/eV per atom
calculated density: 5.35 g cm⁻³
energy relative to the lowest polymorph listed for this composition: 217 meV per atom

=====

Computed, not measured: a relaxed NaGa3Pb2Au12 crystal at the PBE level of DFT.

a = 8.8560 Å, b = 8.8560 Å, c = 18.0535 Å
α = 90.00°, β = 90.00°, γ = 120.00°
Space group R-3m (No. 166, hexagonal axes)
Inequivalent atoms, fractional coordinates:
Na  0.0000  0.0000  0.0000 [3 per cell]
Ga  0.0000  0.5000  0.5000 [9 per cell]
Pb  0.0000  0.0000  0.4111 [6 per cell]
Au  0.0266  0.5133  0.3535 [18 per cell]
Au  0.0394  0.5197  0.8874 [18 per cell]

calculated volume: 1226.20 Å³ per cell
total magnetic moment: 0.00 μB per formula unit
ΔE_f: 0.036 eV per atom
Fermi-level density of states: 0.438 states/eV per atom
calculated density: 12.23 g cm⁻³

=====

Computed, not measured: a relaxed Na2GaPbAu crystal at the PBE level of DFT.

a = 5.478 Å, b = 5.478 Å, c = 4.770 Å
α = 90.00°, β = 90.00°, γ = 90.00°
Space group P4/mmm (No. 123)
Inequivalent atoms, fractional coordinates:
Na  0.000  0.500  0.000 [2 per cell]
Ga  0.000  0.000  0.000 [1 per cell]
Pb  0.500  0.500  0.500 [1 per cell]
Au  0.000  0.000  0.500 [1 per cell]

calculated volume: 143.13 Å³ per cell
total magnetic moment: 0.00 μB per formula unit
ΔE_f: 0.082 eV per atom
Fermi-level density of states: 0.402 states/eV per atom
calculated density: 6.03 g cm⁻³
energy relative to the lowest polymorph listed for this composition: 0 meV per atom

=====

Computed, not measured: a relaxed Na2Ga3PbAu4 crystal at the PBE level of DFT.

a = 4.556 Å, b = 4.556 Å, c = 11.068 Å
α = 90.00°, β = 90.00°, γ = 90.00°
Space group P-4m2 (No. 115)
Inequivalent atoms, fractional coordinates:
Na  0.000  0.500  0.231 [2 per cell]
Ga  0.000  0.500  0.883 [2 per cell]
Ga  0.500  0.500  0.500 [1 per cell]
Pb  0.000  0.000  0.500 [1 per cell]
Au  0.000  0.000  0.000 [1 per cell]
Au  0.000  0.500  0.657 [2 per cell]
Au  0.500  0.500  0.000 [1 per cell]

calculated volume: 229.74 Å³ per cell
total magnetic moment: 0.00 μB per formula unit
ΔE_f: -0.246 eV per atom
Fermi-level density of states: 0.550 states/eV per atom
calculated density: 9.04 g cm⁻³

=====

Computed, not measured: a relaxed NaGaPbAu crystal at the PBE level of DFT.

a = 7.172 Å, b = 7.172 Å, c = 7.172 Å
α = 90.00°, β = 90.00°, γ = 90.00°
Space group F-43m (No. 216)
Inequivalent atoms, fractional coordinates:
Na  0.000  0.000  0.000 [4 per cell]
Ga  0.250  0.250  0.750 [4 per cell]
Pb  0.000  0.000  0.500 [4 per cell]
Au  0.250  0.250  0.250 [4 per cell]

calculated volume: 368.85 Å³ per cell
total magnetic moment: 0.00 μB per formula unit
ΔE_f: -0.078 eV per atom
Fermi-level density of states: 0.748 states/eV per atom
calculated density: 8.95 g cm⁻³

=====

Computed, not measured: a relaxed Na2Ga3PdAu12 crystal at the PBE level of DFT.

a = 9.5061 Å, b = 9.5061 Å, c = 13.4337 Å
α = 90.00°, β = 90.00°, γ = 120.00°
Space group R-3m (No. 166, hexagonal axes)
Inequivalent atoms, fractional coordinates:
Na  0.0000  0.0000  0.1175 [6 per cell]
Ga  0.0000  0.5000  0.0000 [9 per cell]
Pd  0.0000  0.0000  0.5000 [3 per cell]
Au  0.0020  0.5010  0.8074 [18 per cell]
Au  0.0350  0.5175  0.3966 [18 per cell]

calculated volume: 1051.32 Å³ per cell
total magnetic moment: 0.00 μB per formula unit
ΔE_f: -0.058 eV per atom
Fermi-level density of states: 0.480 states/eV per atom
calculated density: 12.91 g cm⁻³